No. 1
This record from Alexandria describes a relaxed LiV3Pd7 crystal. The functional is PBE.

Cell lengths 4.555, 7.906, 9.535 Å; angles 90.00, 90.00, 90.00 degrees
Space group Immm (No. 71)
Unique sites:
Li1 0.000 0.000 0.000 [2 per cell]
V1 0.000 0.000 0.500 [2 per cell]
V2 0.000 0.500 0.231 [4 per cell]
Pd1 0.000 0.187 0.299 [8 per cell]
Pd2 0.000 0.318 0.000 [4 per cell]
Pd3 0.000 0.500 0.500 [2 per cell]

Values from the calculation:
D(E_F)	1.00	states/eV per atom
magnetic moment	2.38	μB/f.u.
formation enthalpy at 0 K	-24	meV/atom

=====

No. 2
This record from Alexandria describes a relaxed LiVPd4 crystal. The functional is PBE.

Cell lengths 4.532, 4.663, 9.004 Å; angles 104.89, 104.48, 90.14 degrees
Space group P-1 (No. 2)
Unique sites:
Li1 0.250 0.196 0.000 [2 per cell]
V1 0.000 0.500 0.500 [1 per cell]
V2 0.500 0.000 0.500 [1 per cell]
Pd1 0.079 0.038 0.658 [2 per cell]
Pd2 0.167 0.613 0.835 [2 per cell]
Pd3 0.333 0.780 0.165 [2 per cell]
Pd4 0.421 0.380 0.342 [2 per cell]

Values from the calculation:
D(E_F)	0.51	states/eV per atom
magnetic moment	0.21	μB/f.u.
formation enthalpy at 0 K	-213	meV/atom

=====

No. 3
This record from Alexandria describes a relaxed LiVPd6 crystal. The functional is PBE.

Cell lengths 3.899, 3.899, 7.746 Å; angles 90.00, 90.00, 90.00 degrees
Space group P4/mmm (No. 123)
Unique sites:
Li1 0.000 0.000 0.000 [1 per cell]
V1 0.000 0.000 0.500 [1 per cell]
Pd1 0.000 0.500 0.256 [4 per cell]
Pd2 0.500 0.500 0.000 [1 per cell]
Pd3 0.500 0.500 0.500 [1 per cell]

Values from the calculation:
D(E_F)	1.40	states/eV per atom
magnetic moment	0.18	μB/f.u.
formation enthalpy at 0 K	-268	meV/atom

=====

No. 4
This record from Alexandria describes a relaxed Li2VPd crystal. The functional is PBE.

Cell lengths 2.6637, 2.6637, 28.8001 Å; angles 90.00, 90.00, 120.00 degrees
Space group R-3m (No. 166, hexagonal axes)
Unique sites:
Li1 0.0000 0.0000 0.0916 [6 per cell]
V1 0.0000 0.0000 0.0000 [3 per cell]
Pd1 0.0000 0.0000 0.5000 [3 per cell]

Values from the calculation:
D(E_F)	0.75	states/eV per atom
magnetic moment	0.00	μB/f.u.
formation enthalpy at 0 K	91	meV/atom